Entry 1:
# Co2ReIr

A relaxed structure of Co2ReIr (GGA-PBEsol, Alexandria via LeMat-Bulk).

CIF file:
```
data_Co2ReIr
_chemical_formula_sum 'Co4 Re2 Ir2'
_cell_length_a 3.643
_cell_length_b 3.643
_cell_length_c 7.362
_cell_angle_alpha 90.00
_cell_angle_beta 90.00
_cell_angle_gamma 90.00
_symmetry_space_group_name_H-M 'I -4 m 2'
_symmetry_Int_Tables_number 119
_symmetry_space_group_name_Hall 'I -4 -2'
loop_
_atom_site_label
_atom_site_fract_x
_atom_site_fract_y
_atom_site_fract_z
Co1 0.000 0.000 0.000
Co2 0.000 0.500 0.250
Re1 0.000 0.500 0.750
Ir1 0.000 0.000 0.500
```

## Properties
**DOS(E_F)**: 1.05 states/eV per atom
**Crystal system**: tetragonal
**DFT formation energy**: -0.06 eV per atom


Entry 2:
# CoReIr2

A relaxed structure of CoReIr2 (GGA-PBEsol, Alexandria via LeMat-Bulk).

CIF file:
```
data_CoReIr2
_chemical_formula_sum 'Co1 Re1 Ir2'
_cell_length_a 2.703
_cell_length_b 4.229
_cell_length_c 4.666
_cell_angle_alpha 90.00
_cell_angle_beta 90.00
_cell_angle_gamma 90.00
_symmetry_space_group_name_H-M 'P m m 2'
_symmetry_Int_Tables_number 25
loop_
_symmetry_equiv_pos_as_xyz
'x,y,z'
'-x,-y,z'
'-x,y,z'
'x,-y,z'
loop_
_atom_site_label
_atom_site_fract_x
_atom_site_fract_y
_atom_site_fract_z
Co1 0.000 0.000 0.000
Re1 0.000 0.500 0.324
Ir1 0.500 0.000 0.501
Ir2 0.500 0.500 0.847
```

## Properties
**DOS(E_F)**: 1.04 states/eV per atom
**Crystal system**: orthorhombic
**ΔE to the lowest computed polymorph**: 5 meV/atom
**DFT formation energy**: -0.09 eV per atom


Entry 3:
# CoReIr2

A relaxed structure of CoReIr2 (GGA-PBEsol, Alexandria via LeMat-Bulk).

CIF file:
```
data_CoReIr2
_chemical_formula_sum 'Co1 Re1 Ir2'
_cell_length_a 2.700
_cell_length_b 2.700
_cell_length_c 7.318
_cell_angle_alpha 90.00
_cell_angle_beta 90.00
_cell_angle_gamma 90.00
_symmetry_space_group_name_H-M 'P 4/m m m'
_symmetry_Int_Tables_number 123
_symmetry_space_group_name_Hall '-P 4 2'
loop_
_atom_site_label
_atom_site_fract_x
_atom_site_fract_y
_atom_site_fract_z
Co1 0.000 0.000 0.000
Re1 0.000 0.000 0.500
Ir1 0.500 0.500 0.241
```

## Properties
**DOS(E_F)**: 1.15 states/eV per atom
**Crystal system**: tetragonal
**ΔE to the lowest computed polymorph**: 29 meV/atom
**DFT formation energy**: -0.07 eV per atom